w:
PPdS3 | PBE | relaxed

Values from the calculation:
space-group type	Pm-3m, No. 221
volume	17.794	Å³/atom

The structure in extended XYZ format:
```
5
Lattice="-0.800 2.208 -3.797 -4.392 -0.429 0.676 -0.031 3.856 2.249" Properties=species:S:1:pos:R:3 pbc="T T T"
P 0.000 0.000 0.000
S -2.196 -0.214 0.338
S -0.015 1.928 1.124
S -0.400 1.104 -1.898
Pd -2.611 2.818 -0.436
```

x:
PPdS3 | PBE | relaxed

Values from the calculation:
space-group type	Cmc2_1, No. 36
volume	19.432	Å³/atom

The structure in extended XYZ format:
```
10
Lattice="3.351 0.000 0.000 0.000 6.087 0.000 -1.676 0.000 9.526" Properties=species:S:1:pos:R:3 pbc="T T T"
P 0.000 3.044 6.640
P 1.676 6.087 2.886
Pd 1.676 6.005 6.292
Pd 0.000 2.962 3.235
S 1.676 2.090 7.805
S 0.000 5.134 1.721
S 1.676 1.880 1.855
S 0.000 4.923 7.671
S 1.676 3.989 4.686
S 0.000 0.945 4.840
```

y:
PPdS3 | PBE | relaxed

Values from the calculation:
space-group type	Pm-3m, No. 221
volume	20.043	Å³/atom

The structure in extended XYZ format:
```
5
Lattice="4.645 0.000 0.000 0.000 4.645 0.000 0.000 0.000 4.645" Properties=species:S:1:pos:R:3 pbc="T T T"
P 2.322 2.322 2.322
S 0.000 2.322 0.000
S 0.000 0.000 2.322
S 2.322 0.000 0.000
Pd 0.000 0.000 0.000
```

x is preferred energetically. Next in line: 73.4 kJ/mol of atoms higher.

w:
PPd3S | PBE | relaxed

Values from the calculation:
space-group type	Pmc2_1, No. 26
volume	17.031	Å³/atom

The structure in extended XYZ format:
```
10
Lattice="3.471 0.000 0.000 0.000 7.699 0.000 0.000 0.000 6.374" Properties=species:S:1:pos:R:3 pbc="T T T"
P 0.000 4.978 1.950
P 0.000 2.721 5.137
Pd 1.735 4.877 3.598
Pd 1.735 1.238 4.419
Pd 0.000 2.752 2.706
Pd 1.735 2.822 0.411
Pd 0.000 4.947 5.893
Pd 1.735 6.461 1.232
S 1.735 1.036 2.015
S 1.735 6.663 5.202
```

x:
PPd3S | PBE | relaxed

Values from the calculation:
space-group type	Pm-3m, No. 221
volume	18.183	Å³/atom

The structure in extended XYZ format:
```
5
Lattice="4.497 0.000 0.000 0.000 4.497 0.000 0.000 0.000 4.497" Properties=species:S:1:pos:R:3 pbc="T T T"
P 0.000 0.000 0.000
S 2.248 2.248 2.248
Pd 0.000 2.248 0.000
Pd 0.000 0.000 2.248
Pd 2.248 0.000 0.000
```

w is preferred energetically. Next in line: 43.3 kJ/mol of atoms higher.